[1]
Rb5GeO4 | GGA-PBE | relaxed

POSCAR file:
```
Rb5GeO4
1.0
8.063 0.000 0.000
0.000 9.689 0.000
0.000 0.000 6.566
Rb Ge O
10 2 8
direct
0.007 0.067 0.246
0.007 0.433 0.246
0.250 0.750 0.273
0.493 0.067 0.246
0.493 0.433 0.246
0.507 0.567 0.754
0.507 0.933 0.754
0.750 0.250 0.727
0.993 0.567 0.754
0.993 0.933 0.754
0.250 0.250 0.721
0.750 0.750 0.279
0.065 0.250 0.878
0.250 0.096 0.562
0.250 0.404 0.562
0.435 0.250 0.878
0.565 0.750 0.122
0.750 0.596 0.438
0.750 0.904 0.438
0.935 0.750 0.122
```

Values from the calculation:
- Calculated density: 3.651 g/cm3
- V: 513.0 Å³ per cell
- Spin magnetization: 0.46 μB/f.u.
- Calculated total energy: -4.23 eV per atom

[2]
TiNiB2Br | GGA-PBE | relaxed

POSCAR file:
```
TiNiB2Br
1.0
4.209 0.000 0.000
0.000 4.209 0.000
0.000 0.000 4.958
Ti Ni B Br
1 1 2 1
direct
0.000 0.000 0.000
0.500 0.500 0.500
0.000 0.500 0.000
0.500 0.000 0.000
0.000 0.000 0.500
```

Values from the calculation:
- Calculated density: 3.934 g/cm3
- V: 87.8 Å³ per cell
- Spin magnetization: 1.06 μB/f.u.
- Calculated total energy: -4.28 eV per atom

[3]
CdGa2IrI | GGA-PBE | relaxed

POSCAR file:
```
CdGa2IrI
1.0
4.875 0.000 0.000
0.000 4.875 0.000
0.000 0.000 5.448
Cd Ga Ir I
1 2 1 1
direct
0.000 0.000 0.000
0.000 0.500 0.500
0.500 0.000 0.500
0.000 0.000 0.500
0.500 0.500 0.000
```

Values from the calculation:
- Calculated density: 7.322 g/cm3
- V: 129.5 Å³ per cell
- Spin magnetization: 0.00 μB/f.u.
- Calculated total energy: -3.66 eV per atom